Computed, not measured: an optimized crystal structure of Tb3Sm3ScTe8 at the PBE-GGA level of DFT.

Spin magnetization (μB/cell): 0.0
E_form (uncorrected) (eV per atom): -1.37
Space group: No. 166

Cell: 8.7756 8.7756 8.7756 Å, 59.83 59.83 59.83°
Positions (direct):
Tb 0.0000 0.5000 0.5000
Tb 0.5000 0.0000 0.5000
Tb 0.5000 0.5000 0.0000
Sm 0.0000 0.0000 0.5000
Sm 0.0000 0.5000 0.0000
Sm 0.5000 0.0000 0.0000
Sc 0.0000 0.0000 0.0000
Te 0.2457 0.2457 0.7504
Te 0.2457 0.7504 0.2457
Te 0.2496 0.7543 0.7543
Te 0.2519 0.2519 0.2519
Te 0.7481 0.7481 0.7481
Te 0.7504 0.2457 0.2457
Te 0.7543 0.2496 0.7543
Te 0.7543 0.7543 0.2496